# 1
A relaxed Sm5DyRh6 crystal, computed with PBE.

Results
Its space-group type is P2/m. The value obtained for the calculated formation energy is -0.74 eV/atom. For the total energy, the calculation gives -6.769 eV per atom.

extended XYZ file:
```
12
Lattice="4.952 0.000 0.000 0.000 6.916 0.000 -2.461 0.000 7.431" Properties=species:S:1:pos:R:3 pbc="T T T"
Sm 0.000 0.000 0.000
Sm 0.010 0.000 4.955
Sm 0.010 3.458 4.962
Sm 2.481 3.458 2.469
Sm 2.481 0.000 2.476
Dy 0.000 3.458 0.000
Rh 0.005 1.741 2.451
Rh 0.005 5.175 2.451
Rh 2.476 1.759 0.000
Rh 2.476 5.158 0.000
Rh 2.485 1.741 4.980
Rh 2.485 5.175 4.980
```



# 2
A relaxed SmDy5Rh6 crystal, computed with PBE.

Results
Its space-group type is Cmmm. The value obtained for the calculated formation energy is -0.85 eV/atom. For the total energy, the calculation gives -6.834 eV per atom.

extended XYZ file:
```
12
Lattice="2.428 -7.293 0.000 2.428 7.293 0.000 0.000 0.000 6.885" Properties=species:S:1:pos:R:3 pbc="T T T"
Sm 0.000 0.000 0.000
Dy 0.000 0.000 3.443
Dy 2.428 2.442 0.000
Dy 2.428 2.433 3.443
Dy 2.428 -2.442 0.000
Dy 2.428 -2.433 3.443
Rh 2.428 4.842 1.733
Rh 2.428 4.842 5.152
Rh 2.428 0.000 1.751
Rh 2.428 0.000 5.135
Rh 2.428 -4.842 1.733
Rh 2.428 -4.842 5.152
```



# 3
A relaxed Sm4DyRh2 crystal, computed with PBE.

Results
Its space-group type is P2_1/m. The value obtained for the calculated formation energy is -0.40 eV/atom. For the total energy, the calculation gives -5.858 eV per atom.

extended XYZ file:
```
14
Lattice="7.955 0.000 0.000 0.000 6.470 0.000 -3.207 0.000 7.363" Properties=species:S:1:pos:R:3 pbc="T T T"
Sm -1.091 1.618 2.803
Sm 0.890 4.853 2.490
Sm 0.823 0.027 5.651
Sm 0.823 3.208 5.651
Sm 3.925 3.262 1.712
Sm 3.925 6.443 1.712
Sm 3.858 1.618 4.873
Sm 5.839 4.853 4.560
Dy 1.139 1.618 0.228
Dy 3.609 4.853 7.134
Rh -1.312 4.853 7.294
Rh 1.641 1.618 3.001
Rh 3.107 4.853 4.362
Rh 6.060 1.618 0.069
```



# 4
A relaxed SmDy4Rh2 crystal, computed with PBE.

Results
Its space-group type is P2_1/m. The value obtained for the calculated formation energy is -0.47 eV/atom. For the total energy, the calculation gives -5.873 eV per atom.

extended XYZ file:
```
14
Lattice="7.832 0.000 0.000 0.000 6.438 0.000 -3.062 0.000 7.267" Properties=species:S:1:pos:R:3 pbc="T T T"
Sm -0.286 1.610 1.147
Sm 5.056 4.829 6.120
Dy 0.072 3.237 4.287
Dy 0.072 6.421 4.287
Dy 1.869 4.829 1.824
Dy 2.955 1.610 0.115
Dy 1.815 4.829 7.152
Dy 2.901 1.610 5.443
Dy 4.698 0.017 2.980
Dy 4.698 3.202 2.980
Rh -2.189 1.610 5.365
Rh 2.079 1.610 2.704
Rh 2.691 4.829 4.563
Rh 6.959 4.829 1.902
```



# 5
A relaxed Sm2DyRh3 crystal, computed with PBE.

Results
Its space-group type is P4/mmm. The value obtained for the calculated formation energy is -0.77 eV/atom. For the excess energy over the best structure of this formula in the dataset, the calculation gives 5 meV/atom. For the total energy, the calculation gives -6.782 eV per atom.

extended XYZ file:
```
6
Lattice="3.468 0.000 0.000 0.000 3.468 0.000 0.000 0.000 10.471" Properties=species:S:1:pos:R:3 pbc="T T T"
Sm 0.000 0.000 1.767
Sm 0.000 0.000 8.705
Dy 0.000 0.000 5.236
Rh 1.734 1.734 0.000
Rh 1.734 1.734 3.556
Rh 1.734 1.734 6.915
```



# 6
A relaxed SmDy2Rh2 crystal, computed with PBE.

Results
Its space-group type is Cmcm. The value obtained for the calculated formation energy is -0.60 eV/atom. For the excess energy over the best structure of this formula in the dataset, the calculation gives 0 meV/atom. For the total energy, the calculation gives -6.326 eV per atom.

extended XYZ file:
```
10
Lattice="1.914 -13.181 0.000 1.914 13.181 0.000 0.000 0.000 4.673" Properties=species:S:1:pos:R:3 pbc="T T T"
Sm 1.914 9.582 3.505
Sm 1.914 -9.582 1.168
Dy 1.914 6.982 1.168
Dy 1.914 1.356 3.505
Dy 1.914 -1.356 1.168
Dy 1.914 -6.982 3.505
Rh 1.914 12.328 3.505
Rh 1.914 4.259 3.505
Rh 1.914 -4.259 1.168
Rh 1.914 -12.328 1.168
```



# 7
A relaxed Sm4DyRh5 crystal, computed with PBE.

Results
Its space-group type is P4/mmm. The value obtained for the calculated formation energy is -0.74 eV/atom. For the total energy, the calculation gives -6.764 eV per atom.

extended XYZ file:
```
10
Lattice="3.520 0.000 0.000 0.000 3.520 0.000 0.000 0.000 17.084" Properties=species:S:1:pos:R:3 pbc="T T T"
Sm 0.000 0.000 1.722
Sm 0.000 0.000 5.163
Sm 0.000 0.000 11.921
Sm 0.000 0.000 15.362
Dy 0.000 0.000 8.542
Rh 1.760 1.760 0.000
Rh 1.760 1.760 3.446
Rh 1.760 1.760 6.902
Rh 1.760 1.760 10.182
Rh 1.760 1.760 13.637
```



# 8
A relaxed Sm2Dy2Rh3 crystal, computed with PBE.

Results
Its space-group type is C2/m. The value obtained for the calculated formation energy is -0.74 eV/atom. For the excess energy over the best structure of this formula in the dataset, the calculation gives 0 meV/atom. For the total energy, the calculation gives -6.551 eV per atom.

extended XYZ file:
```
14
Lattice="8.350 0.000 0.000 0.000 4.832 0.000 -2.786 0.000 8.108" Properties=species:S:1:pos:R:3 pbc="T T T"
Sm 0.000 0.000 3.020
Sm 1.389 2.416 5.088
Sm 4.175 2.416 3.020
Sm 5.565 0.000 5.088
Dy -1.393 2.416 7.110
Dy 2.782 0.000 0.998
Dy 2.782 0.000 7.110
Dy 6.957 2.416 0.998
Rh 0.000 0.000 0.000
Rh 1.389 2.416 1.967
Rh 0.000 0.000 6.141
Rh 4.175 2.416 0.000
Rh 5.564 0.000 1.967
Rh 4.175 2.416 6.141
```



# 9
A relaxed SmDy3Rh2 crystal, computed with PBE.

Results
Its space-group type is C2/m. The value obtained for the calculated formation energy is -0.57 eV/atom. For the excess energy over the best structure of this formula in the dataset, the calculation gives 68 meV/atom. For the total energy, the calculation gives -6.112 eV per atom.

extended XYZ file:
```
12
Lattice="8.093 -2.128 0.000 8.093 2.128 0.000 -4.816 0.000 9.656" Properties=species:S:1:pos:R:3 pbc="T T T"
Sm -0.123 0.000 2.045
Sm 11.492 0.000 7.611
Dy 0.570 0.000 5.724
Dy 0.681 0.000 9.351
Dy 5.295 0.000 3.196
Dy 6.074 0.000 6.460
Dy 10.688 0.000 0.305
Dy 10.799 0.000 3.932
Rh -1.866 0.000 8.188
Rh 3.377 0.000 5.622
Rh 7.992 0.000 4.034
Rh 13.236 0.000 1.468
```



# 10
A relaxed Sm2DyRh9 crystal, computed with PBE.

Results
Its space-group type is R-3m. The value obtained for the calculated formation energy is -0.54 eV/atom. For the total energy, the calculation gives -7.219 eV per atom.

extended XYZ file:
```
12
Lattice="2.639 1.524 8.848 -2.639 1.524 8.848 0.000 -3.048 8.848" Properties=species:S:1:pos:R:3 pbc="T T T"
Sm 0.000 0.000 3.680
Sm 0.000 0.000 22.865
Dy 0.000 0.000 0.000
Rh -1.318 -0.761 11.016
Rh 0.000 0.000 8.836
Rh 0.000 -1.522 15.529
Rh -1.318 0.761 15.529
Rh 0.000 0.000 13.273
Rh 1.318 -0.761 11.016
Rh 0.000 1.522 11.016
Rh 0.000 0.000 17.709
Rh 1.318 0.761 15.529
```



# 11
A relaxed Sm2Dy5Rh4 crystal, computed with PBE.

Results
Its space-group type is C2/m. The value obtained for the calculated formation energy is -0.42 eV/atom. For the total energy, the calculation gives -6.043 eV per atom.

extended XYZ file:
```
11
Lattice="12.050 -1.797 0.000 12.050 1.797 0.000 -0.371 0.000 6.845" Properties=species:S:1:pos:R:3 pbc="T T T"
Sm 2.023 0.000 1.065
Sm 21.706 0.000 5.780
Dy 2.979 0.000 4.647
Dy 5.522 0.000 1.497
Dy 11.865 0.000 3.423
Dy 18.207 0.000 5.349
Dy 20.750 0.000 2.198
Rh 0.377 0.000 5.469
Rh 7.972 0.000 0.141
Rh 15.757 0.000 6.704
Rh 23.352 0.000 1.377
```



# 12
A relaxed Sm3DyRh4 crystal, computed with PBE.

Results
Its space-group type is P4/mmm. The value obtained for the calculated formation energy is -0.75 eV/atom. For the total energy, the calculation gives -6.766 eV per atom.

extended XYZ file:
```
8
Lattice="3.433 0.000 0.000 0.000 3.433 0.000 0.000 0.000 14.329" Properties=species:S:1:pos:R:3 pbc="T T T"
Sm 0.000 0.000 0.000
Sm 0.000 0.000 3.618
Sm 0.000 0.000 10.712
Dy 0.000 0.000 7.165
Rh 1.717 1.717 1.810
Rh 1.717 1.717 5.449
Rh 1.717 1.717 8.880
Rh 1.717 1.717 12.520
```



# 13
A relaxed Tb2SmDyRh4 crystal, computed with PBE.

Results
Its space-group type is R-3m. The value obtained for the calculated formation energy is -0.82 eV/atom. For the total energy, the calculation gives -6.823 eV per atom.

extended XYZ file:
```
8
Lattice="2.439 1.408 7.986 -2.439 1.408 7.986 0.000 -2.816 7.986" Properties=species:S:1:pos:R:3 pbc="T T T"
Tb 0.000 0.000 5.971
Tb 0.000 0.000 17.989
Sm 0.000 0.000 0.000
Dy 0.000 0.000 11.980
Rh 0.000 0.000 3.021
Rh 0.000 0.000 9.014
Rh 0.000 0.000 14.945
Rh 0.000 0.000 20.938
```



# 14
A relaxed DySnRh2 crystal, computed with PBE.

Results
Its space-group type is P4/mmm. The value obtained for the calculated formation energy is -0.77 eV/atom. For the total energy, the calculation gives -6.599 eV per atom.

extended XYZ file:
```
4
Lattice="4.559 0.000 0.000 0.000 4.559 0.000 0.000 0.000 3.541" Properties=species:S:1:pos:R:3 pbc="T T T"
Dy 0.000 0.000 0.000
Sn 2.280 2.280 0.000
Rh 0.000 2.280 1.770
Rh 2.280 0.000 1.770
```



# 15
A relaxed DySn3Rh3 crystal, computed with PBE.

Results
Its space-group type is Pm-3n. The value obtained for the calculated formation energy is 0.03 eV/atom. For the total energy, the calculation gives -5.495 eV per atom.

extended XYZ file:
```
14
Lattice="7.144 0.000 0.000 0.000 7.144 0.000 0.000 0.000 7.144" Properties=species:S:1:pos:R:3 pbc="T T T"
Dy 0.000 0.000 0.000
Dy 3.572 3.572 3.572
Sn 0.000 1.786 3.572
Sn 0.000 5.358 3.572
Sn 1.786 3.572 0.000
Sn 3.572 0.000 1.786
Sn 3.572 0.000 5.358
Sn 5.358 3.572 0.000
Rh 0.000 3.572 1.786
Rh 0.000 3.572 5.358
Rh 1.786 0.000 3.572
Rh 3.572 1.786 0.000
Rh 3.572 5.358 0.000
Rh 5.358 0.000 3.572
```



# 16
A relaxed DySnRh3 crystal, computed with PBE.

Results
Its space-group type is Imma. The value obtained for the calculated formation energy is -0.52 eV/atom. For the total energy, the calculation gives -6.655 eV per atom.

extended XYZ file:
```
10
Lattice="-2.781 3.783 4.480 2.781 -3.783 4.480 2.781 3.783 -4.480" Properties=species:S:1:pos:R:3 pbc="T T T"
Dy 0.000 1.891 0.131
Dy 2.781 1.891 4.349
Sn 2.781 0.000 0.000
Sn 0.000 0.000 4.480
Rh 2.781 1.891 -1.874
Rh 1.391 4.200 -2.240
Rh 1.391 0.417 2.240
Rh -1.391 3.365 2.240
Rh 1.391 3.365 2.240
Rh 0.000 1.891 6.354
```



# 17
A relaxed Dy5SnRh4 crystal, computed with PBE.

Results
Its space-group type is P4/mmm. The value obtained for the calculated formation energy is -0.83 eV/atom. For the total energy, the calculation gives -6.471 eV per atom.

extended XYZ file:
```
10
Lattice="3.361 0.000 0.000 0.000 3.361 0.000 0.000 0.000 18.961" Properties=species:S:1:pos:R:3 pbc="T T T"
Dy 0.000 0.000 0.000
Dy 0.000 0.000 3.553
Dy 0.000 0.000 7.080
Dy 0.000 0.000 11.881
Dy 0.000 0.000 15.408
Sn 1.681 1.681 9.480
Rh 1.681 1.681 1.773
Rh 1.681 1.681 5.346
Rh 1.681 1.681 13.615
Rh 1.681 1.681 17.187
```



# 18
A relaxed Dy2Sn2Rh3 crystal, computed with PBE.

Results
Its space-group type is P-1. The value obtained for the calculated formation energy is -0.66 eV/atom. For the total energy, the calculation gives -6.269 eV per atom.

extended XYZ file:
```
7
Lattice="4.666 0.000 0.000 2.330 4.048 0.000 2.321 1.357 7.727" Properties=species:S:1:pos:R:3 pbc="T T T"
Dy 1.166 0.676 1.039
Dy 8.151 4.729 6.688
Sn 3.495 2.024 2.757
Sn 5.822 3.381 4.971
Rh 1.161 0.679 3.864
Rh 3.488 2.031 5.573
Rh 5.829 3.374 2.155
```



# 19
A relaxed Dy4Sn8Rh crystal, computed with PBE.

Results
Its space-group type is Pmm2. The value obtained for the calculated formation energy is -0.59 eV/atom. For the total energy, the calculation gives -5.038 eV per atom.

extended XYZ file:
```
13
Lattice="4.413 0.000 0.000 0.000 4.450 0.000 0.000 0.000 16.855" Properties=species:S:1:pos:R:3 pbc="T T T"
Dy 0.000 0.000 0.000
Dy 0.000 2.225 8.173
Dy 2.207 0.000 13.241
Dy 2.207 2.225 4.918
Sn 0.000 0.000 5.452
Sn 0.000 0.000 10.485
Sn 0.000 2.225 2.445
Sn 0.000 2.225 14.432
Sn 2.207 0.000 2.488
Sn 2.207 0.000 7.535
Sn 2.207 2.225 10.467
Sn 2.207 2.225 16.397
Rh 0.000 2.225 11.877
```



# 20
A relaxed DySn2Rh3 crystal, computed with PBE.

Results
Its space-group type is P-3m1. The value obtained for the calculated formation energy is -0.69 eV/atom. For the total energy, the calculation gives -6.465 eV per atom.

extended XYZ file:
```
6
Lattice="4.660 0.000 0.000 -2.330 4.036 0.000 0.000 0.000 5.810" Properties=species:S:1:pos:R:3 pbc="T T T"
Dy 0.000 0.000 0.000
Sn 0.000 2.691 4.022
Sn 2.330 1.345 1.788
Rh 0.000 0.000 2.905
Rh 0.000 2.691 1.328
Rh 2.330 1.345 4.482
```



# 21
A relaxed Dy3SnRh4 crystal, computed with PBE.

Results
Its space-group type is R-3m. The value obtained for the calculated formation energy is -0.82 eV/atom. For the total energy, the calculation gives -6.720 eV per atom.

extended XYZ file:
```
8
Lattice="2.386 1.378 7.804 -2.386 1.378 7.804 0.000 -2.755 7.804" Properties=species:S:1:pos:R:3 pbc="T T T"
Dy 0.000 0.000 0.000
Dy 0.000 0.000 5.756
Dy 0.000 0.000 17.655
Sn 0.000 0.000 11.705
Rh 0.000 0.000 2.913
Rh 0.000 0.000 8.823
Rh 0.000 0.000 14.587
Rh 0.000 0.000 20.497
```



# 22
A relaxed Dy3Sn3Rh crystal, computed with PBE.

Results
Its space-group type is C2/m. The value obtained for the calculated formation energy is -0.78 eV/atom. For the total energy, the calculation gives -5.522 eV per atom.

extended XYZ file:
```
14
Lattice="5.555 -2.244 0.000 5.555 2.244 0.000 -4.885 0.000 14.106" Properties=species:S:1:pos:R:3 pbc="T T T"
Dy -1.628 0.000 5.362
Dy -3.410 0.000 13.013
Dy 1.446 0.000 3.393
Dy 4.781 0.000 10.712
Dy 9.637 0.000 1.092
Dy 7.855 0.000 8.744
Sn 1.659 0.000 6.554
Sn -0.370 0.000 13.022
Sn 1.595 0.000 10.805
Sn 4.631 0.000 3.301
Sn 6.596 0.000 1.084
Sn 4.568 0.000 7.552
Rh -0.163 0.000 8.701
Rh 6.390 0.000 5.405
```